Nd5NbGe4: relaxed, PBE.

Unit cell a=4.063 b=8.011 c=9.217 alpha=104.40 beta=102.73 gamma=90.00
Element x y z (fractional)
Nd (0.835, 0.647, 0.670)
Nd (0.828, 0.169, 0.657)
Nd (0.172, 0.831, 0.343)
Nd (0.500, 0.500, 0.000)
Nd (0.165, 0.353, 0.330)
Nb (0.500, 0.000, 0.000)
Ge (0.343, 0.913, 0.686)
Ge (0.002, 0.778, 0.004)
Ge (0.657, 0.087, 0.314)
Ge (0.998, 0.222, 0.996)

Output
Space group: No. 12
Density: 6.48 g/cm3
E: -5.69 eV per atom


GaSnSbPb: relaxed, PBE.

Unit cell a=5.352 b=5.352 c=5.352 alpha=60.00 beta=60.00 gamma=60.00
Element x y z (fractional)
Pb (0.750, 0.750, 0.750)
Sb (0.500, 0.500, 0.500)
Sn (0.250, 0.250, 0.250)
Ga (0.000, 0.000, 0.000)

Output
Space group: No. 216
Density: 7.92 g/cm3
E: -3.62 eV per atom


Nb2ReW: relaxed, PBE.

Unit cell a=3.222 b=3.222 c=6.463 alpha=90.00 beta=90.00 gamma=90.00
Element x y z (fractional)
Re (0.500, 0.500, 0.000)
Nb (0.000, 0.000, 0.752)
Nb (0.000, 0.000, 0.248)
W (0.500, 0.500, 0.500)

Output
Space group: No. 123
Density: 13.76 g/cm3
E: -11.56 eV per atom


Pm2NbSe6: relaxed, PBE.

Unit cell a=6.531 b=7.660 c=9.143 alpha=90.00 beta=91.75 gamma=90.00
Element x y z (fractional)
Pm (0.963, 0.379, 0.754)
Pm (0.537, 0.879, 0.746)
Pm (0.463, 0.121, 0.254)
Pm (0.037, 0.621, 0.246)
Nb (0.500, 0.500, 0.000)
Nb (0.000, 0.000, 0.500)
Se (0.883, 0.981, 0.228)
Se (0.846, 0.694, 0.555)
Se (0.834, 0.671, 0.941)
Se (0.666, 0.171, 0.559)
Se (0.654, 0.194, 0.945)
Se (0.617, 0.481, 0.272)
Se (0.117, 0.019, 0.772)
Se (0.154, 0.306, 0.445)
Se (0.166, 0.329, 0.059)
Se (0.334, 0.829, 0.441)
Se (0.346, 0.806, 0.055)
Se (0.383, 0.519, 0.728)

Output
Space group: No. 14
Density: 6.22 g/cm3
E: -5.73 eV per atom


Sm4DySc4: relaxed, PBE.

Unit cell a=4.873 b=7.729 c=7.729 alpha=84.30 beta=71.63 gamma=71.63
Element x y z (fractional)
Sm (0.673, 0.327, 0.327)
Sm (0.327, 0.673, 0.673)
Sm (0.000, 0.673, 0.327)
Sm (0.000, 0.327, 0.673)
Dy (0.000, 0.000, 0.000)
Sc (0.666, 0.668, 0.000)
Sc (0.334, 0.332, 0.000)
Sc (0.666, 0.000, 0.668)
Sc (0.334, 0.000, 0.332)

Output
Space group: No. 139
Density: 5.98 g/cm3
E: -5.36 eV per atom


Er2Se3O9: relaxed, PBE.

Unit cell a=7.050 b=8.123 c=9.059 alpha=71.32 beta=69.92 gamma=66.07
Element x y z (fractional)
Er (0.258, 0.263, 0.203)
Er (0.742, 0.737, 0.797)
Er (0.664, 0.275, 0.409)
Er (0.336, 0.725, 0.591)
O (0.344, 0.254, 0.436)
O (0.656, 0.746, 0.564)
O (0.967, 0.289, 0.445)
O (0.033, 0.711, 0.555)
O (0.163, 0.007, 0.653)
O (0.837, 0.993, 0.347)
O (0.932, 0.309, 0.168)
O (0.068, 0.691, 0.832)
O (0.590, 0.293, 0.151)
O (0.410, 0.707, 0.849)
O (0.834, 0.436, 0.878)
O (0.166, 0.564, 0.122)
O (0.483, 0.405, 0.648)
O (0.517, 0.595, 0.352)
O (0.638, 0.055, 0.696)
O (0.362, 0.945, 0.304)
O (0.350, 0.209, 0.951)
O (0.650, 0.791, 0.049)
Se (0.113, 0.236, 0.586)
Se (0.887, 0.764, 0.414)
Se (0.852, 0.253, 0.035)
Se (0.148, 0.747, 0.965)
Se (0.574, 0.224, 0.802)
Se (0.426, 0.776, 0.198)

Output
Space group: No. 2
Density: 5.46 g/cm3
E: -6.49 eV per atom


ScIn2Cu: relaxed, PBE.

Unit cell a=4.478 b=4.478 c=8.566 alpha=105.15 beta=105.15 gamma=90.00
Element x y z (fractional)
Sc (0.137, 0.137, 0.275)
Sc (0.863, 0.863, 0.725)
In (0.000, 0.500, 0.000)
In (0.500, 0.000, 0.000)
In (0.347, 0.347, 0.695)
In (0.653, 0.653, 0.305)
Cu (0.250, 0.750, 0.500)
Cu (0.750, 0.250, 0.500)

Output
Space group: No. 139
Density: 7.04 g/cm3
E: -4.28 eV per atom


HfReSiF2: relaxed, PBE.

Unit cell a=3.999 b=5.094 c=3.999 alpha=90.00 beta=90.00 gamma=90.00
Element x y z (fractional)
Re (0.000, 0.000, 0.000)
Si (0.000, 0.500, 0.000)
Hf (0.500, 0.500, 0.500)
F (0.000, 0.000, 0.500)
F (0.500, 0.000, 0.000)

Output
Space group: No. 123
Density: 8.78 g/cm3
E: -6.54 eV per atom


EuHgBiPd: relaxed, PBE.

Unit cell a=5.198 b=5.198 c=5.198 alpha=60.00 beta=60.00 gamma=60.00
Site moments in Bohr magnetons follow the coordinates.
Element x y z (fractional)
Eu (0.000, 0.000, 0.000)  6.77
Bi (0.500, 0.500, 0.500)  -0.05
Pd (0.250, 0.250, 0.250)  -0.04
Hg (0.750, 0.750, 0.750)  -0.01

Output
Space group: No. 216
Density: 11.17 g/cm3
E: -5.37 eV per atom


BaMgCd3: relaxed, PBE.

Unit cell a=5.451 b=5.451 c=5.451 alpha=90.00 beta=90.00 gamma=90.00
Element x y z (fractional)
Mg (0.000, 0.000, 0.000)
Ba (0.500, 0.500, 0.500)
Cd (0.000, 0.500, 0.000)
Cd (0.000, 0.000, 0.500)
Cd (0.500, 0.000, 0.000)

Output
Excess energy over the best structure of this formula in the dataset: 157.0 meV per atom
Space group: No. 221
Density: 5.12 g/cm3